Entry from the Alexandria database: a relaxed MnAgMo crystal (PBE).

Cell and atoms, written as extended XYZ:
```
3
Lattice="-3.0366 4.3348 -1.9629 -5.3749 1.6988 0.2985 4.6472 -1.9241 2.5624" Properties=species:S:1:pos:R:3 pbc="T T T"
Ag -8.3530 5.9917 -1.6529
Mn -2.6304 1.8868 -0.5205
Mo -5.8396 4.1888 -1.1555
```

Values from the calculation:
As for the space group: I4mm. The density of states at the Fermi level is 3.5 states/eV/f.u. Its formation energy is 469 meV/atom. The excess energy over the best structure of this formula in the dataset comes out at 100.7 meV/atom.

Entry from the Alexandria database: a relaxed BaSn3Rh3 crystal (PBE).

Cell and atoms, written as extended XYZ:
```
14
Lattice="7.2766 0.0000 0.0000 0.0000 7.2766 0.0000 0.0000 0.0000 7.2766" Properties=species:S:1:pos:R:3 pbc="T T T"
Rh 1.8192 0.0000 3.6383
Rh 0.0000 3.6383 1.8192
Rh 3.6383 5.4575 0.0000
Rh 5.4575 0.0000 3.6383
Rh 0.0000 3.6383 5.4575
Rh 3.6383 1.8192 0.0000
Ba 3.6383 3.6383 3.6383
Ba 0.0000 0.0000 0.0000
Sn 0.0000 1.8192 3.6383
Sn 0.0000 5.4575 3.6383
Sn 3.6383 0.0000 5.4575
Sn 5.4575 3.6383 0.0000
Sn 3.6383 0.0000 1.8192
Sn 1.8192 3.6383 0.0000
```

Values from the calculation:
As for the space group: Pm-3n. The density of states at the Fermi level is 6.0 states/eV/f.u. Its formation energy is -295 meV/atom. The excess energy over the best structure of this formula in the dataset comes out at 58.8 meV/atom.

Entry from the Alexandria database: a relaxed RbMg6GaO8 crystal (PBE).

Cell and atoms, written as extended XYZ:
```
16
Lattice="-2.2976 3.6818 -1.2671 1.0116 -0.8564 -4.3224 -7.3497 -4.8480 -0.7596" Properties=species:S:1:pos:R:3 pbc="T T T"
Rb 0.0000 0.0000 0.0000
Mg -3.6748 -2.4240 -0.3798
Mg -4.3179 -1.0113 -3.1746
Mg -1.4059 -1.6892 -2.3588
Mg -4.9322 -4.0152 -2.7232
Mg -3.0605 0.5799 -0.8311
Mg -6.5868 -1.7461 -1.1956
Ga -0.6430 1.4127 -2.7948
O -2.0690 -1.3647 -0.2138
O -5.2807 -3.4832 -0.5457
O -2.4302 0.2338 -2.9795
O -6.2055 -2.2564 -3.3697
O 0.5058 -0.4282 -2.1612
O -3.1690 -2.8522 -2.5410
O -1.1488 1.8409 -0.6336
O -4.8236 -0.5831 -1.0134
```

Values from the calculation:
As for the space group: P4/mmm. As for the raw formation energy: -2.00 eV/atom. The density of states at the Fermi level is 2.0 states/eV/f.u. The excess energy over the best structure of this formula in the dataset comes out at 65.7 meV/atom.

Entry from the Alexandria database: a relaxed LiYBr2 crystal (PBE).

Cell and atoms, written as extended XYZ:
```
4
Lattice="5.6818 0.0000 0.0000 0.0000 3.7052 0.1353 0.0000 1.6477 5.3586" Properties=species:S:1:pos:R:3 pbc="T T T"
Br 0.0000 3.4728 0.1668
Br 2.8409 1.5595 1.6460
Li 0.0000 1.5547 1.8683
Y 2.8409 1.4423 4.5597
```

Values from the calculation:
As for the space group: Pm. As for the raw formation energy: -0.99 eV/atom. The density of states at the Fermi level is 2.2 states/eV/f.u. The excess energy over the best structure of this formula in the dataset comes out at 224.6 meV/atom.

Entry from the Alexandria database: a relaxed BaIn2AgHg4 crystal (PBE).

Cell and atoms, written as extended XYZ:
```
8
Lattice="-2.8098 -3.9821 -1.3291 0.6777 -4.4486 2.2956 -7.4657 -0.3202 7.1418" Properties=species:S:1:pos:R:3 pbc="T T T"
Ba 0.0000 0.0000 0.0000
In -6.9940 -6.6384 5.8750
In -2.6037 -2.1124 2.2333
Ag -4.7989 -4.3754 4.0542
Hg -6.8961 -3.6023 6.1715
Hg -4.8375 -7.4334 3.6979
Hg -4.7602 -1.3175 4.4105
Hg -2.7016 -5.1485 1.9368
```

Values from the calculation:
As for the space group: R-3m. The density of states at the Fermi level is 3.4 states/eV/f.u. Its formation energy is -184 meV/atom.

Entry from the Alexandria database: a relaxed TbTm2Ni2 crystal (PBE).

Cell and atoms, written as extended XYZ:
```
10
Lattice="-1.4016 3.2136 -0.8801 -2.0792 -1.7881 -3.2179 -10.7919 -4.1923 9.3026" Properties=species:S:1:pos:R:3 pbc="T T T"
Tb -9.1772 -2.3946 5.8717
Tb -5.0955 -0.3721 -0.6669
Tm -1.5997 -0.6899 0.0283
Tm -12.6731 -2.0768 5.1764
Tm -6.1689 0.0466 2.5714
Tm -8.1038 -2.8133 2.6333
Ni -3.8418 -1.1944 1.7573
Ni -10.4309 -1.5724 3.4474
Ni -11.4238 -2.9001 7.6041
Ni -2.8489 0.1333 -2.3994
```

Values from the calculation:
As for the space group: Cmcm. The density of states at the Fermi level is 4.3 states/eV/f.u. Its formation energy is -306 meV/atom. The excess energy over the best structure of this formula in the dataset comes out at 36.2 meV/atom.

Entry from the Alexandria database: a relaxed Mg4SiRh crystal (PBE).

Cell and atoms, written as extended XYZ:
```
6
Lattice="-3.9901 2.2176 2.8742 -4.1267 2.3961 -2.5155 -4.8842 -2.2894 0.0480" Properties=species:S:1:pos:R:3 pbc="T T T"
Mg -6.8694 1.9781 1.5858
Mg -7.3152 -0.2691 0.1766
Mg -6.9375 2.0672 -1.1016
Mg -4.8799 0.8724 0.1526
Si 0.0000 0.0000 0.0000
Rh -9.7508 1.7432 0.3050
```

Values from the calculation:
As for the space group: F-43m. As for the raw formation energy: 0.26 eV/atom. The density of states at the Fermi level is 4.1 states/eV/f.u.

Entry from the Alexandria database: a relaxed Hf13Sn3 crystal (PBE).

Cell and atoms, written as extended XYZ:
```
16
Lattice="-3.6650 -3.0112 4.3776 -1.2593 -4.4466 -4.5061 6.7628 -4.5096 2.5600" Properties=species:S:1:pos:R:3 pbc="T T T"
Hf -0.2003 -2.6697 2.8184
Hf -0.7581 -4.8646 0.5428
Hf -2.5930 -6.2934 2.7560
Hf -3.7356 -5.6576 -0.0977
Hf -1.1887 -1.8003 -0.0312
Hf -1.8626 -4.0867 -2.2783
Hf 3.2288 -4.9564 4.1165
Hf 2.6152 -7.1139 1.8197
Hf 0.8361 -8.5800 4.0541
Hf 0.3406 -5.6384 3.3525
Hf -0.3115 -7.8452 1.1878
Hf 2.1476 -4.1209 1.2520
Hf 1.4918 -6.3253 -0.8988
Sn 0.4498 -5.5885 -3.7351
Sn -3.0119 -3.4009 1.9655
Sn 3.7334 -7.7780 -2.4921
```

Values from the calculation:
As for the space group: Amm2. The density of states at the Fermi level is 14.2 states/eV/f.u. Its formation energy is -154 meV/atom.

Entry from the Alexandria database: a relaxed AgSb2P crystal (PBE).

Cell and atoms, written as extended XYZ:
```
4
Lattice="3.8557 -0.0589 0.0370 1.9172 3.3458 0.0370 1.9316 1.0998 7.1088" Properties=species:S:1:pos:R:3 pbc="T T T"
Ag 5.7784 3.2900 5.3871
P 1.9261 1.0967 1.7957
Sb 5.7731 3.2870 0.1846
Sb 3.8520 2.1932 3.4808
```

Values from the calculation:
As for the space group: C2/m. As for the raw formation energy: 0.16 eV/atom. The density of states at the Fermi level is 2.2 states/eV/f.u.

Entry from the Alexandria database: a relaxed Sm2Sc3Ni2 crystal (PBE).

Cell and atoms, written as extended XYZ:
```
7
Lattice="-1.9757 -0.6911 2.7454 -3.7176 -4.6051 -1.6639 3.2906 -6.9332 2.7933" Properties=species:S:1:pos:R:3 pbc="T T T"
Sm -1.4738 -3.7110 0.1758
Sm -0.9289 -8.5184 3.6990
Sc -0.9879 -0.3456 1.3727
Sc -2.3338 -6.9722 0.9066
Sc -0.0689 -5.2572 2.9683
Ni -1.2007 -9.5867 1.0639
Ni -1.2020 -2.6428 2.8110
```

Values from the calculation:
As for the space group: C2/m. The density of states at the Fermi level is 9.5 states/eV/f.u. Its formation energy is -253 meV/atom.

Entry from the Alexandria database: a relaxed KHg2As crystal (PBE).

Cell and atoms, written as extended XYZ:
```
4
Lattice="6.7477 -0.0287 -0.0598 -3.3096 5.8804 -0.0598 0.7383 1.2566 2.6736" Properties=species:S:1:pos:R:3 pbc="T T T"
As -1.2857 3.5685 1.3069
Hg 0.0000 0.0000 0.0000
Hg 1.7190 2.9258 -0.0598
K 3.7430 0.6139 1.3069
```

Values from the calculation:
As for the space group: C2/m. The density of states at the Fermi level is 1.0 states/eV/f.u. Its formation energy is 24 meV/atom.

Entry from the Alexandria database: a relaxed LaErZnGa crystal (PBE).

Cell and atoms, written as extended XYZ:
```
4
Lattice="5.1822 0.0000 0.0000 2.5911 4.4880 0.0000 2.5911 1.4960 4.2313" Properties=species:S:1:pos:R:3 pbc="T T T"
Zn 2.5911 1.4960 1.0578
La 5.1822 2.9920 2.1156
Ga 7.7734 4.4880 3.1735
Er 0.0000 0.0000 0.0000
```

Values from the calculation:
As for the space group: F-43m. The density of states at the Fermi level is 3.8 states/eV/f.u. Its formation energy is -452 meV/atom.

| no. | DFT total energy (Ry per atom) | M_tot (Bohr magnetons per cell) |
| --- | --- | --- |
| 1 | -0.5254 | 0.00 |
| 2 | -0.3995 | 0.00 |
| 3 | -0.3912 | 0.33 |
| 4 | -0.2884 | 1.17 |
| 5 | -0.1188 | 0.00 |
| 6 | -0.3920 | 0.00 |
| 7 | -0.2156 | 0.00 |
| 8 | -0.6609 | 0.00 |
| 9 | -0.2915 | 0.00 |
| 10 | -0.4386 | 0.00 |
| 11 | -0.1149 | 0.00 |
| 12 | -0.2867 | 0.00 |